Density functional theory data (GGA-PBE) for PrSm2Y4 after structural relaxation.

Cell lengths 6.1284, 6.6743, 11.7601 Å; angles 90.00, 104.28, 90.00 degrees
Space group P2_1/m (No. 11)
Unique sites:
Pr (0.0413, 0.2500, 0.3664) x2
Sm (0.1607, 0.2500, 0.9509) x2
Sm (0.3996, 0.7500, 0.5138) x2
Y (0.1407, 0.2500, 0.6665) x2
Y (0.2775, 0.7500, 0.9189) x2
Y (0.3398, 0.5079, 0.2098) x4

Computed properties:
DOS(E_F) = 22.31 states/eV/cell
DFT total energy = -78.53 eV/cell
Energy of formation = 116 meV per atom
Crystal system = monoclinic

Density functional theory data (GGA-PBE) for Pr3Sm4Y5 after structural relaxation.

Cell lengths 16.2656, 6.0199, 9.4078 Å; angles 90.00, 116.18, 90.00 degrees
Space group C2/m (No. 12)
Unique sites:
Pr (0.0000, 0.0000, 0.0000) x2
Pr (0.2094, 0.5000, 0.2316) x4
Sm (0.0834, 0.5000, 0.4448) x4
Sm (0.2102, 0.5000, 0.8801) x4
Y (0.0000, 0.5000, 0.0000) x2
Y (0.0727, 0.0000, 0.6991) x4
Y (0.1714, 0.0000, 0.3875) x4

Computed properties:
DOS(E_F) = 38.48 states/eV/cell
DFT total energy = -125.83 eV/cell
Energy of formation = 218 meV per atom
Crystal system = monoclinic

Density functional theory data (GGA-PBE) for Pr5SmY2 after structural relaxation.

Cell lengths 14.7297, 12.2850, 6.7926 Å; angles 90.00, 113.48, 90.00 degrees
Space group C2/c (No. 15)
Unique sites:
Pr (0.0000, 0.2399, 0.2500) x4
Pr (0.1260, 0.2415, 0.8842) x8
Pr (0.2392, 0.4878, 0.2059) x8
Sm (0.0000, 0.4930, 0.7500) x4
Y (0.0000, 0.0000, 0.0000) x4
Y (0.2500, 0.2500, 0.5000) x4

Computed properties:
DOS(E_F) = 51.72 states/eV/cell
DFT total energy = -159.91 eV/cell
Energy of formation = 196 meV per atom
Crystal system = monoclinic

Density functional theory data (GGA-PBE) for PrSm2Y2 after structural relaxation.

Cell lengths 5.8561, 7.0854, 16.5821 Å; angles 90.00, 90.00, 90.00 degrees
Space group Imma (No. 74)
Unique sites:
Pr (0.0000, 0.2500, 0.1185) x4
Sm (0.0000, 0.0051, 0.6908) x8
Y (0.0000, 0.2500, 0.4970) x4
Y (0.0000, 0.2500, 0.8875) x4

Computed properties:
DOS(E_F) = 33.65 states/eV/cell
DFT total energy = -106.10 eV/cell
Energy of formation = 124 meV per atom
Crystal system = orthorhombic

Density functional theory data (GGA-PBE) for Pr4Sm5Y after structural relaxation.

Cell lengths 26.1459, 3.6645, 7.3039 Å; angles 90.00, 98.33, 90.00 degrees
Space group C2/m (No. 12)
Unique sites:
Pr (0.0991, 0.0000, 0.3007) x4
Pr (0.1994, 0.5000, 0.0995) x4
Sm (0.0000, 0.5000, 0.5000) x2
Sm (0.0990, 0.0000, 0.7986) x4
Sm (0.1996, 0.5000, 0.6002) x4
Y (0.0000, 0.5000, 0.0000) x2

Computed properties:
DOS(E_F) = 28.75 states/eV/cell
DFT total energy = -98.08 eV/cell
Energy of formation = 14 meV per atom
Crystal system = monoclinic

Density functional theory data (GGA-PBE) for Pr5Sm4Y3 after structural relaxation.

Cell lengths 6.3210, 7.2937, 8.9490 Å; angles 90.06, 90.16, 90.20 degrees
Space group P-1 (No. 2)
Unique sites:
Pr (0.0000, 0.0000, 0.0000) x1
Pr (0.3313, 0.4993, 0.3343) x2
Pr (0.4992, 0.2499, 0.0002) x2
Sm (0.1666, 0.7505, 0.6656) x2
Sm (0.3345, 0.9997, 0.3349) x2
Y (0.0000, 0.5000, 0.0000) x1
Y (0.1666, 0.2494, 0.6657) x2

Computed properties:
DOS(E_F) = 16.56 states/eV/cell
DFT total energy = -62.02 eV/cell
Energy of formation = 12 meV per atom
Crystal system = triclinic

Density functional theory data (GGA-PBE) for Pr3Sm4Y after structural relaxation.

Cell lengths 10.3349, 7.3080, 7.3014 Å; angles 90.00, 90.00, 90.00 degrees
Space group Pmna (No. 53)
Unique sites:
Pr (0.0000, 0.0000, 0.0000) x2
Pr (0.2500, 0.2514, 0.2500) x4
Sm (0.0000, 0.0000, 0.5000) x2
Sm (0.0000, 0.5000, 0.0000) x2
Sm (0.2500, 0.2514, 0.7500) x4
Y (0.0000, 0.5000, 0.5000) x2

Computed properties:
DOS(E_F) = 22.92 states/eV/cell
DFT total energy = -79.16 eV/cell
Energy of formation = 13 meV per atom
Crystal system = orthorhombic

Density functional theory data (GGA-PBE) for Pr5Sm4Y3 after structural relaxation.

Cell lengths 16.5306, 6.0268, 9.5080 Å; angles 90.00, 116.64, 90.00 degrees
Space group C2/m (No. 12)
Unique sites:
Pr (0.0000, 0.0000, 0.0000) x2
Pr (0.0751, 0.5000, 0.7014) x4
Pr (0.1729, 0.5000, 0.3878) x4
Sm (0.0825, 0.0000, 0.4429) x4
Sm (0.2180, 0.0000, 0.8788) x4
Y (0.0000, 0.5000, 0.0000) x2
Y (0.2081, 0.0000, 0.2267) x4

Computed properties:
DOS(E_F) = 39.65 states/eV/cell
DFT total energy = -119.20 eV/cell
Energy of formation = 214 meV per atom
Crystal system = monoclinic